DFT (PBE) results for a geometry-optimized LaSc3Sb structure.

Computed properties:
**E_form (uncorrected)**: 0.076 eV/atom
**Uncorrected energy**: -27.67 eV per cell

Lattice parameters (Å, degrees): 5.4403 5.4403 5.4403 90.00 90.00 90.00
Closest atoms and distances in Å follow each position.
Space group Pm-3m (No. 221)
Inequivalent atoms, fractional coordinates:
La  0.0000  0.0000  0.0000 x1  12 Sc 3.85
Sc  0.0000  0.5000  0.5000 x3  2 Sb 2.72
Sb  0.5000  0.5000  0.5000 x1  6 Sc 2.72